TbPuThHg: relaxed, PBE.

space group	No. 216

Cell: 5.3762 5.3762 5.3762 Å, 60.00 60.00 60.00°
With the nearest neighbours (Å) after each atom.
Fractional coordinates of all 4 atoms:
Tb: 0.0000 0.0000 0.0000  4 Hg 3.29, 4 Pu 3.29
Pu: 0.2500 0.2500 0.2500  4 Tb 3.29, 4 Th 3.29
Th: 0.5000 0.5000 0.5000  4 Hg 3.29, 4 Pu 3.29
Hg: 0.7500 0.7500 0.7500  4 Tb 3.29, 4 Th 3.29

---

TbPuZnHg: relaxed, PBE.

space group	No. 216

Cell: 5.2046 5.2046 5.2046 Å, 60.00 60.00 60.00°
With the nearest neighbours (Å) after each atom.
Fractional coordinates of all 4 atoms:
Tb: 0.0000 0.0000 0.0000  4 Zn 3.19, 4 Hg 3.19
Pu: 0.5000 0.5000 0.5000  4 Zn 3.19, 4 Hg 3.19
Zn: 0.7500 0.7500 0.7500  4 Tb 3.19, 4 Pu 3.19
Hg: 0.2500 0.2500 0.2500  4 Tb 3.19, 4 Pu 3.19

---

Pu5Tc2Hg2: relaxed, PBE.

space group	No. 64

Cell: 8.8372 8.8372 7.5177 Å, 90.00 90.00 50.22°
With the nearest neighbours (Å) after each atom.
Fractional coordinates of all 18 atoms:
Pu: 0.0000 0.0000 0.0000  4 Tc 2.89-2.90
Pu: 0.0443 0.7252 0.6600  3 Tc 2.80-2.93
Pu: 0.2252 0.5443 0.1600  3 Tc 2.80-2.93
Pu: 0.2748 0.9557 0.6600  3 Tc 2.80-2.93
Pu: 0.4557 0.7748 0.1600  3 Tc 2.80-2.93
Pu: 0.5000 0.5000 0.5000  4 Tc 2.89-2.90
Pu: 0.5443 0.2252 0.8400  3 Tc 2.80-2.93
Pu: 0.7252 0.0443 0.3400  3 Tc 2.80-2.93
Pu: 0.7748 0.4557 0.8400  3 Tc 2.80-2.93
Pu: 0.9557 0.2748 0.3400  3 Tc 2.80-2.93
Tc: 0.1415 0.8585 0.3585  8 Pu 2.80-2.93, 1 Tc 3.00
Tc: 0.3585 0.6415 0.8585  8 Pu 2.80-2.93, 1 Tc 3.00
Tc: 0.6415 0.3585 0.1415  8 Pu 2.80-2.93, 1 Tc 3.00
Tc: 0.8585 0.1415 0.6415  8 Pu 2.80-2.93, 1 Tc 3.00
Hg: 0.2151 0.2151 0.0000  7 Pu 3.20-3.44
Hg: 0.2849 0.2849 0.5000  7 Pu 3.20-3.44
Hg: 0.7151 0.7151 0.5000  7 Pu 3.20-3.44
Hg: 0.7849 0.7849 0.0000  7 Pu 3.20-3.44

---

| no. | total magnetization (μB per cell) | volume (A^3/atom) | calculated formation energy (meV/atom) |
| --- | --- | --- | --- |
| 1 | 7.23 | 27.5 | 46 |
| 2 | 6.22 | 24.9 | -198 |
| 3 | 51.67 | 25.1 | 42 |